{
  "formula": "FeBr2O",
  "functional": "PBE with a Hubbard U",
  "state": "optimized geometry",
  "e_tot_ev_per_atom": -3.285,
  "m_tot_mub_per_fu": 2.0,
  "cell": [[-3.555, 3.555, 4.014], [3.555, -3.555, 4.014], [3.555, 3.555, -4.014]],
  "species": ["Fe", "Fe", "Br", "Br", "Br", "Br", "O", "O"],
  "frac_coords": [[0.000, 0.000, 0.000], [0.750, 0.250, 0.500], [0.087, 0.625, 0.962], [0.375, 0.337, 0.462], [0.663, 0.125, 0.038], [0.875, 0.913, 0.538], [0.250, 0.750, 0.500], [0.500, 0.500, 0.000]]
}